(1)
{"formula": "LiPaCdAg", "functional": "PBE", "state": "relaxed", "lattice_angstrom": [[0.0000, 3.4741, 3.4741], [3.4741, 0.0000, 3.4741], [3.4741, 3.4741, 0.0000]], "species": ["Li", "Pa", "Cd", "Ag"], "frac_coords": [[0.0000, 0.0000, 0.0000], [0.7500, 0.7500, 0.7500], [0.2500, 0.2500, 0.2500], [0.5000, 0.5000, 0.5000]], "energy_ha_per_atom": -0.132, "dos_at_fermi_per_ev_fu": 4.8, "formation_energy_ev_per_fu": 0.850}



(2)
{"formula": "MgTi", "functional": "PBE", "state": "relaxed", "lattice_angstrom": [[2.0835, -11.4794, 0.0000], [2.0835, 11.4794, 0.0000], [0.0000, 0.0000, 4.0932]], "species": ["Mg", "Mg", "Mg", "Mg", "Mg", "Ti", "Ti", "Ti", "Ti", "Ti"], "frac_coords": [[0.0000, 0.0000, 0.0000], [0.1022, 0.8978, 0.5000], [0.3980, 0.6020, 0.0000], [0.6020, 0.3980, 0.0000], [0.8978, 0.1022, 0.5000], [0.2099, 0.7901, 0.0000], [0.2924, 0.7076, 0.5000], [0.5000, 0.5000, 0.5000], [0.7076, 0.2924, 0.5000], [0.7901, 0.2099, 0.0000]], "energy_ha_per_atom": -0.170, "dos_at_fermi_per_ev_fu": 1.6, "formation_energy_ev_per_fu": 0.211}



(3)
{"formula": "Sc2NbRu", "functional": "PBE", "state": "relaxed", "lattice_angstrom": [[3.1735, 0.0000, 0.0000], [0.0000, 3.1735, 0.0000], [0.0000, 0.0000, 7.3718]], "species": ["Sc", "Sc", "Nb", "Ru"], "frac_coords": [[0.0000, 0.0000, 0.2144], [0.0000, 0.0000, 0.7856], [0.5000, 0.5000, 0.5000], [0.5000, 0.5000, 0.0000]], "polymorph_energy_mev_per_atom": 0, "energy_ha_per_atom": -0.302, "dos_at_fermi_per_ev_fu": 3.5, "formation_energy_ev_per_fu": -0.855}



(4)
{"formula": "K2AlW", "functional": "PBE", "state": "relaxed", "lattice_angstrom": [[0.0000, 3.7797, 3.7797], [3.7797, 0.0000, 3.7797], [3.7797, 3.7797, 0.0000]], "species": ["K", "K", "Al", "W"], "frac_coords": [[0.0000, 0.0000, 0.0000], [0.2500, 0.2500, 0.2500], [0.5000, 0.5000, 0.5000], [0.7500, 0.7500, 0.7500]], "energy_ha_per_atom": -0.121, "dos_at_fermi_per_ev_fu": 1.4, "formation_energy_ev_per_fu": 5.730}



(5)
{"formula": "CsTeI6", "functional": "PBE", "state": "relaxed", "lattice_angstrom": [[4.0750, 2.3527, 7.3703], [-4.0750, 2.3527, 7.3703], [0.0000, -4.7054, 7.3703]], "species": ["Cs", "Te", "I", "I", "I", "I", "I", "I"], "frac_coords": [[0.0000, 0.0000, 0.0000], [0.5000, 0.5000, 0.5000], [0.0820, 0.5920, 0.5920], [0.4080, 0.4080, 0.9180], [0.4080, 0.9180, 0.4080], [0.5920, 0.0820, 0.5920], [0.5920, 0.5920, 0.0820], [0.9180, 0.4080, 0.4080]], "polymorph_energy_mev_per_atom": 26, "energy_ha_per_atom": -0.075, "dos_at_fermi_per_ev_fu": 12.1, "e_form_raw_ev_per_atom": -0.3720}



(6)
{"formula": "Hf3Zr6N", "functional": "PBE", "state": "relaxed", "lattice_angstrom": [[4.8615, -8.4699, 0.0000], [4.8615, 8.4699, 0.0000], [0.0000, 0.0000, 5.1602]], "species": ["Hf", "Hf", "Hf", "Hf", "Hf", "Hf", "Zr", "Zr", "Zr", "Zr", "Zr", "Zr", "Zr", "Zr", "Zr", "Zr", "Zr", "Zr", "N", "N"], "frac_coords": [[0.1110, 0.8890, 0.5000], [0.2228, 0.4484, 0.0027], [0.4484, 0.2228, 0.5027], [0.5516, 0.7772, 0.0027], [0.7772, 0.5516, 0.5027], [0.8890, 0.1110, 0.0000], [0.1109, 0.2197, 0.5013], [0.1145, 0.5578, 0.4971], [0.2197, 0.1109, 0.0013], [0.2230, 0.7770, 0.0000], [0.4422, 0.8855, 0.4971], [0.4437, 0.5563, 0.4991], [0.5563, 0.4437, 0.9991], [0.5578, 0.1145, 0.9971], [0.7770, 0.2230, 0.5000], [0.7803, 0.8891, 0.5013], [0.8855, 0.4422, 0.9971], [0.8891, 0.7803, 0.0013], [0.3346, 0.6654, 0.2422], [0.6654, 0.3346, 0.7422]], "energy_ha_per_atom": -0.342, "dos_at_fermi_per_ev_fu": 8.1, "e_form_raw_ev_per_atom": -0.3715}



(7)
{"formula": "Ca2YZrSb4", "functional": "PBE", "state": "relaxed", "lattice_angstrom": [[7.5024, 0.0000, 0.0000], [0.0000, 4.2936, 0.0000], [-2.4519, 0.0000, 7.4238]], "species": ["Ca", "Ca", "Y", "Zr", "Sb", "Sb", "Sb", "Sb"], "frac_coords": [[0.0000, 0.0000, 0.0000], [0.5000, 0.5000, 0.0000], [0.0000, 0.5000, 0.5000], [0.5000, 0.0000, 0.5000], [0.2560, 0.0000, 0.7349], [0.2676, 0.5000, 0.2712], [0.7324, 0.5000, 0.7288], [0.7440, 0.0000, 0.2651]], "energy_ha_per_atom": -0.195, "dos_at_fermi_per_ev_fu": 3.0, "e_form_raw_ev_per_atom": -0.8811}



(8)
{"formula": "Er2CdIn8", "functional": "PBE", "state": "relaxed", "lattice_angstrom": [[4.7715, 0.0000, 0.0000], [0.0000, 4.7715, 0.0000], [0.0000, 0.0000, 12.4342]], "species": ["Er", "Er", "Cd", "In", "In", "In", "In", "In", "In", "In", "In"], "frac_coords": [[0.0000, 0.0000, 0.1791], [0.0000, 0.0000, 0.8209], [0.0000, 0.0000, 0.5000], [0.0000, 0.5000, 0.0000], [0.0000, 0.5000, 0.3578], [0.0000, 0.5000, 0.6422], [0.5000, 0.0000, 0.0000], [0.5000, 0.0000, 0.3578], [0.5000, 0.0000, 0.6422], [0.5000, 0.5000, 0.1799], [0.5000, 0.5000, 0.8201]], "energy_ha_per_atom": -0.115, "dos_at_fermi_per_ev_fu": 3.2, "formation_energy_ev_per_fu": -2.354}



(9)
{"formula": "NdEr2Tl3S6", "functional": "PBE", "state": "relaxed", "lattice_angstrom": [[3.5157, -6.0871, 0.0000], [3.5157, 6.0871, 0.0000], [-2.3411, 0.0000, 7.5169]], "species": ["Nd", "Er", "Er", "Tl", "Tl", "Tl", "S", "S", "S", "S", "S", "S"], "frac_coords": [[0.0000, 0.0000, 0.0000], [0.3334, 0.6666, 0.0000], [0.6666, 0.3334, 0.0000], [0.1653, 0.8347, 0.5000], [0.5000, 0.5000, 0.5000], [0.8347, 0.1653, 0.5000], [0.0663, 0.4109, 0.1993], [0.2788, 0.2788, 0.8029], [0.4109, 0.0663, 0.1993], [0.5891, 0.9337, 0.8007], [0.7212, 0.7212, 0.1971], [0.9337, 0.5891, 0.8007]], "energy_ha_per_atom": -0.194, "dos_at_fermi_per_ev_fu": 0.0, "e_form_raw_ev_per_atom": -1.4745}



(10)
{"formula": "BeNiRh4", "functional": "PBE", "state": "relaxed", "lattice_angstrom": [[0.0000, 3.5603, 3.5603], [3.5603, 0.0000, 3.5603], [3.5603, 3.5603, 0.0000]], "species": ["Be", "Ni", "Rh", "Rh", "Rh", "Rh"], "frac_coords": [[0.0000, 0.0000, 0.0000], [0.7500, 0.7500, 0.7500], [0.3750, 0.3750, 0.3750], [0.3750, 0.3750, 0.8751], [0.3750, 0.8751, 0.3750], [0.8751, 0.3750, 0.3750]], "energy_ha_per_atom": -0.218, "dos_at_fermi_per_ev_fu": 11.8, "formation_energy_ev_per_fu": 3.284}



(11)
{"formula": "BaLaOs2", "functional": "PBE", "state": "relaxed", "lattice_angstrom": [[4.5832, -1.6520, 0.0000], [4.5832, 1.6520, 0.0000], [-0.8340, 0.0000, 6.9733]], "species": ["Ba", "La", "Os", "Os"], "frac_coords": [[0.0000, 0.0000, 0.0000], [0.5000, 0.5000, 0.5000], [0.2505, 0.2505, 0.6577], [0.7495, 0.7495, 0.3423]], "polymorph_energy_mev_per_atom": 638, "energy_ha_per_atom": -0.242, "dos_at_fermi_per_ev_fu": 3.0, "formation_energy_ev_per_fu": 2.928}



(12)
{"formula": "BaB2AsO8", "functional": "PBE", "state": "relaxed", "lattice_angstrom": [[4.6874, 0.0000, 0.0000], [-2.3437, 4.0594, 0.0000], [0.0000, 0.0000, 7.5195]], "species": ["Ba", "B", "B", "As", "O", "O", "O", "O", "O", "O", "O", "O"], "frac_coords": [[0.0000, 0.0000, 0.0000], [0.3333, 0.6667, 0.6955], [0.6667, 0.3333, 0.3045], [0.0000, 0.0000, 0.5000], [0.0576, 0.3414, 0.6464], [0.2838, 0.9424, 0.6464], [0.3333, 0.6667, 0.8903], [0.3414, 0.2838, 0.3536], [0.6586, 0.7162, 0.6464], [0.6667, 0.3333, 0.1097], [0.7162, 0.0576, 0.3536], [0.9424, 0.6586, 0.3536]], "energy_ha_per_atom": -0.241, "dos_at_fermi_per_ev_fu": 8.2, "e_form_raw_ev_per_atom": -1.5979}